A:
TbPd2Au8 after structural relaxation. Source: the Alexandria database, functional PBE-GGA.

Unit cell a=4.2612 b=7.2107 c=7.2107 alpha=106.83 beta=90.03 gamma=90.03
Sites, in units of the cell vectors:
Tb: 0.5000 0.0000 0.0000
Pd: 0.0000 0.3838 0.6162
Pd: 0.0000 0.6162 0.3838
Au: 0.9996 0.9613 0.6899
Au: 0.9996 0.6899 0.9613
Au: 0.4999 0.6651 0.6651
Au: 0.5000 0.7527 0.2473
Au: 0.5000 0.2473 0.7527
Au: 0.5001 0.3349 0.3349
Au: 0.0004 0.3101 0.0387
Au: 0.0004 0.0387 0.3101

Results
N(E_F) (states/eV/f.u.): 4.0
Space-group type: No. 65


B:
TbPd2Au8 after structural relaxation. Source: the Alexandria database, functional PBE-GGA.

Unit cell a=4.1562 b=6.5921 c=7.8602 alpha=104.05 beta=105.33 gamma=90.00
Sites, in units of the cell vectors:
Tb: 0.5000 0.0000 0.0000
Pd: 0.2259 0.6331 0.4517
Pd: 0.7741 0.3669 0.5483
Au: 0.5968 0.4567 0.1936
Au: 0.3154 0.0872 0.6308
Au: 0.1407 0.1925 0.2814
Au: 0.0499 0.7211 0.0999
Au: 0.8593 0.8075 0.7186
Au: 0.6846 0.9128 0.3692
Au: 0.4032 0.5433 0.8064
Au: 0.9501 0.2789 0.9001

Results
N(E_F) (states/eV/f.u.): 4.1
Space-group type: No. 12


Last place for stability: A


A:
TbPd2Au4 after structural relaxation. Source: the Alexandria database, functional PBE-GGA.

Unit cell a=7.1491 b=7.1494 c=7.1495 alpha=111.01 beta=111.01 gamma=106.43
Sites, in units of the cell vectors:
Tb: 0.2499 0.7501 0.5000
Tb: 0.0000 0.9999 0.9999
Pd: 0.6252 0.5534 0.4283
Pd: 0.1251 0.1967 0.5718
Pd: 0.8033 0.3750 0.9284
Pd: 0.4466 0.8749 0.0717
Au: 0.7305 0.9981 0.5670
Au: 0.5194 0.5866 0.7675
Au: 0.4311 0.1636 0.4330
Au: 0.8365 0.2694 0.2675
Au: 0.0020 0.5688 0.7324
Au: 0.8190 0.7521 0.2324
Au: 0.2480 0.4805 0.0671
Au: 0.4135 0.1810 0.9331

Results
N(E_F) (states/eV/f.u.): 3.7
Space-group type: No. 122


B:
TbPd2Au4 after structural relaxation. Source: the Alexandria database, functional PBE-GGA.

Unit cell a=6.9989 b=6.9989 c=5.6370 alpha=128.30 beta=128.36 gamma=90.01
Sites, in units of the cell vectors:
Tb: 0.9999 0.9999 0.9998
Pd: 0.7500 0.2499 0.5000
Pd: 0.2500 0.7502 0.5000
Au: 0.6995 0.3004 0.9999
Au: 0.3005 0.6996 0.0002
Au: 0.3006 0.3006 0.9999
Au: 0.6994 0.6994 0.0001

Results
N(E_F) (states/eV/f.u.): 3.2
Space-group type: No. 12


Last place for stability: A


A:
TbPd3Au4 after structural relaxation. Source: the Alexandria database, functional PBE-GGA.

Unit cell a=4.1616 b=4.1584 c=8.8031 alpha=76.31 beta=103.67 gamma=90.00
Sites, in units of the cell vectors:
Tb: 0.5000 0.0000 0.0000
Pd: 0.0000 0.5000 0.0000
Pd: 0.2471 0.2530 0.4942
Pd: 0.7529 0.7470 0.5058
Au: 0.6308 0.3692 0.2616
Au: 0.3692 0.6308 0.7384
Au: 0.8692 0.1306 0.7385
Au: 0.1308 0.8694 0.2615

Results
N(E_F) (states/eV/f.u.): 3.4
Space-group type: No. 139


B:
TbPd3Au4 after structural relaxation. Source: the Alexandria database, functional PBE-GGA.

Unit cell a=4.0683 b=4.1885 c=8.8962 alpha=103.62 beta=103.22 gamma=90.00
Sites, in units of the cell vectors:
Au: 0.7532 0.2532 0.5064
Au: 0.2468 0.7468 0.4936
Au: 0.3739 0.3739 0.7479
Au: 0.6261 0.6261 0.2521
Tb: 0.5000 0.0000 0.0000
Pd: 0.0000 0.5000 0.0000
Pd: 0.8741 0.8739 0.7483
Pd: 0.1259 0.1261 0.2517

Results
N(E_F) (states/eV/f.u.): 3.1
Space-group type: No. 71


Last place for stability: A


A:
Tb6Pd5Au after structural relaxation. Source: the Alexandria database, functional PBE-GGA.

Unit cell a=7.1160 b=7.1802 c=7.0910 alpha=59.58 beta=80.55 gamma=71.07
Sites, in units of the cell vectors:
Tb: 0.7406 0.0879 0.3422
Tb: 0.2594 0.5699 0.3422
Tb: 0.2436 0.2646 0.0000
Tb: 0.7564 0.7354 0.0000
Tb: 0.7406 0.4301 0.6578
Tb: 0.2594 0.9121 0.6578
Pd: 0.5000 0.1577 0.6845
Pd: 0.0000 0.3290 0.3421
Pd: 0.5000 0.5000 0.0000
Pd: 0.0000 0.6710 0.6579
Pd: 0.5000 0.8423 0.3155
Au: 0.0000 0.0000 0.0000

Results
N(E_F) (states/eV/f.u.): 8.8
Space-group type: No. 12


B:
Tb6Pd5Au after structural relaxation. Source: the Alexandria database, functional PBE-GGA.

Unit cell a=5.0117 b=7.0769 c=8.6643 alpha=65.90 beta=73.35 gamma=90.00
Sites, in units of the cell vectors:
Au: 0.0000 0.0000 0.0000
Tb: 0.8322 0.5803 0.3359
Tb: 0.8322 0.0840 0.3359
Tb: 0.5000 0.7462 0.0000
Tb: 0.5000 0.2538 0.0000
Tb: 0.1678 0.9160 0.6641
Tb: 0.1678 0.4197 0.6641
Pd: 0.6666 0.1675 0.6653
Pd: 0.3342 0.3332 0.3336
Pd: 0.0000 0.5000 0.0000
Pd: 0.6658 0.6668 0.6664
Pd: 0.3334 0.8325 0.3347

Results
N(E_F) (states/eV/f.u.): 7.9
Space-group type: No. 12


Last place for stability: A